Here is an optimized crystal structure of MgPd2Au5 from the Alexandria database. Energies are from PBE.

Lattice parameters (Å, degrees): 4.1051 5.7759 11.5663 90.00 90.00 90.00
Last column: nearest neighbours and their distance in Å.
Fractional positions:
Au 0.0000 0.0024 0.7456  1 Mg 2.84, 4 Pd 2.88-2.94, 7 Au 2.88-2.94
Au 0.0000 0.5024 0.7544  1 Mg 2.84, 4 Pd 2.88-2.94, 7 Au 2.88-2.94
Au 0.0000 0.0000 0.0000  4 Pd 2.89, 2 Mg 2.89, 6 Au 2.89-2.94
Au 0.0000 0.9976 0.2544  1 Mg 2.84, 4 Pd 2.88-2.94, 7 Au 2.88-2.94
Au 0.5000 0.7473 0.1230  4 Pd 2.85-2.93, 2 Mg 2.88, 6 Au 2.88-2.93
Au 0.5000 0.7527 0.6230  4 Pd 2.85-2.93, 2 Mg 2.88, 6 Au 2.88-2.93
Au 0.5000 0.2473 0.3770  4 Pd 2.85-2.93, 2 Mg 2.88, 6 Au 2.88-2.93
Au 0.0000 0.4976 0.2456  1 Mg 2.84, 4 Pd 2.88-2.94, 7 Au 2.88-2.94
Au 0.5000 0.2527 0.8770  4 Pd 2.85-2.93, 2 Mg 2.88, 6 Au 2.88-2.93
Au 0.0000 0.5000 0.5000  4 Pd 2.89, 2 Mg 2.89, 6 Au 2.89-2.94
Mg 0.0000 0.5000 0.0000  8 Au 2.84-2.89, 4 Pd 2.89
Mg 0.0000 0.0000 0.5000  8 Au 2.84-2.89, 4 Pd 2.89
Pd 0.5000 0.2505 0.6233  10 Au 2.85-2.94, 2 Mg 2.89
Pd 0.5000 0.7505 0.8767  10 Au 2.85-2.94, 2 Mg 2.89
Pd 0.5000 0.7495 0.3767  10 Au 2.85-2.94, 2 Mg 2.89
Pd 0.5000 0.2495 0.1233  10 Au 2.85-2.94, 2 Mg 2.89

## Properties
ΔE_f = -0.30 eV per atom

Here is an optimized crystal structure of SnCO3 from the Alexandria database. Energies are from PBE.

Lattice parameters (Å, degrees): 3.5276 3.5276 3.5276 90.00 90.00 90.00
Last column: nearest neighbours and their distance in Å.
Fractional positions:
O 0.0000 0.0000 0.5000  2 C 1.76
O 0.5000 0.0000 0.0000  2 C 1.76
O 0.0000 0.5000 0.0000  2 C 1.76
Sn 0.5000 0.5000 0.5000  12 O 2.49
C 0.0000 0.0000 0.0000  6 O 1.76

## Properties
uncorrected formation energy = 27.85 kJ per mole of atoms

Here is an optimized crystal structure of ScRePb from the Alexandria database. Energies are from PBE.

Lattice parameters (Å, degrees): 4.6239 4.6239 4.6239 60.00 60.00 60.00
Last column: nearest neighbours and their distance in Å.
Fractional positions:
Sc 0.7500 0.7500 0.7500  4 Pb 2.83, 4 Re 2.83
Pb 0.0000 0.0000 0.0000  4 Sc 2.83
Re 0.5000 0.5000 0.5000  4 Sc 2.83

## Properties
energy above the most stable polymorph in this dataset = 812.2 meV per atom
ΔE_f = 0.97 eV per atom

Here is an optimized crystal structure of Ge2HO from the Alexandria database. Energies are from PBE.

Lattice parameters (Å, degrees): 4.1198 4.1198 4.1198 60.00 60.00 60.00
Last column: nearest neighbours and their distance in Å.
Fractional positions:
Ge 0.2500 0.2500 0.2500  4 O 2.52, 4 H 2.52
Ge 0.7500 0.7500 0.7500  4 O 2.52, 4 H 2.52
O 0.5000 0.5000 0.5000  8 Ge 2.52
H 0.0000 0.0000 0.0000  8 Ge 2.52

## Properties
energy above the most stable polymorph in this dataset = 303.5 meV per atom

Here is an optimized crystal structure of KGaAgBi from the Alexandria database. Energies are from PBE.

Lattice parameters (Å, degrees): 4.5752 4.5752 12.6147 90.00 90.00 90.00
Last column: nearest neighbours and their distance in Å.
Fractional positions:
Bi 0.7500 0.7500 0.8617  4 Ga 2.88
Bi 0.2500 0.2500 0.1383  4 Ga 2.88
K 0.7500 0.7500 0.2870  4 Ag 3.53, 4 Bi 3.74
K 0.2500 0.2500 0.7130  4 Ag 3.53, 4 Bi 3.74
Ag 0.2500 0.7500 0.5000  4 Ag 3.24, 4 K 3.53
Ag 0.7500 0.2500 0.5000  4 Ag 3.24, 4 K 3.53
Ga 0.7500 0.2500 0.0000  4 Bi 2.88
Ga 0.2500 0.7500 0.0000  4 Bi 2.88

## Properties
ΔE_f = 0.00 eV per atom

Here is an optimized crystal structure of TaPbI2 from the Alexandria database. Energies are from PBE.

Lattice parameters (Å, degrees): 5.2697 5.2697 5.2697 60.00 60.00 60.00
Last column: nearest neighbours and their distance in Å.
Fractional positions:
I 0.7500 0.7500 0.7500  4 Ta 3.23, 4 Pb 3.23
I 0.2500 0.2500 0.2500  4 Pb 3.23, 4 Ta 3.23
Pb 0.5000 0.5000 0.5000  8 I 3.23
Ta 0.0000 0.0000 0.0000  8 I 3.23

## Properties
energy above the most stable polymorph in this dataset = 410.7 meV per atom
uncorrected formation energy = 78.16 kJ per mole of atoms

Number 1: DOS(E_F) 2.52 states/eV/f.u.. Number 2: DOS(E_F) 0.65 states/eV/f.u.. Number 3: DOS(E_F) 5.91 states/eV/f.u.. Number 4: DOS(E_F) 2.31 states/eV/f.u.. Number 5: DOS(E_F) 0.90 states/eV/f.u.. Number 6: DOS(E_F) 3.76 states/eV/f.u..